VASP calculation (PBE) on an optimized crystal structure of Mo5Ru.

The structure belongs to space group Amm2 (No. 38); the cell edges are 4.6252, 2.6658 and 15.2974 Å and the angles 90.00°, 90.00° and 90.00°. The distinct sites, in fractional coordinates, are Mo at (0.0000, 0.0000, 0.0000), Mo at (0.0000, 0.0000, 0.3234), Mo at (0.5000, 0.0000, 0.2230), Mo at (0.5000, 0.0000, 0.5619), Mo at (0.5000, 0.0000, 0.8937) and Ru at (0.0000, 0.0000, 0.6653).

As for the volume: 188.6 Å³ per cell. The energy relative to the lowest polymorph listed for this composition is 1.23 eV/f.u. The calculation puts the formation energy at 0.282 eV/atom. The value obtained for the raw total energy is -0.378 hartree per atom.